1.
A plane-wave DFT calculation with PBE+U was carried out for a relaxed MnNb2O5 crystal.

a b c (Å): 3.8072 5.5159 10.9806
angles (deg): 90.00 90.00 110.19
Each line ends with the local moment (μB).
Positions (direct):
O  0.9347  0.8695  0.8778  0.00
O  0.3299  0.6597  0.0512  0.02
O  0.8108  0.6216  0.2500  0.03
O  0.9347  0.8695  0.6222  0.00
O  0.0653  0.1305  0.1222  0.00
O  0.6701  0.3403  0.5512  0.02
O  0.3299  0.6597  0.4488  0.02
O  0.1892  0.3784  0.7500  0.03
O  0.6701  0.3403  0.9488  0.02
O  0.0653  0.1305  0.3778  0.00
Nb  0.8871  0.7741  0.4375  -0.03
Nb  0.8871  0.7741  0.0625  -0.03
Nb  0.1129  0.2259  0.9375  -0.03
Nb  0.1129  0.2259  0.5625  -0.03
Mn  0.7884  0.5768  0.7500  4.59
Mn  0.2116  0.4232  0.2500  4.59

Values from the calculation:
Calculated density: 4.92 Mg/m³
Magnetic moment: 0.600 μB per atom
SG: Cmcm
DFT total energy: -0.6418 Ry/atom



2.
A plane-wave DFT calculation with PBE+U was carried out for a relaxed Mn3NbO crystal.

a b c (Å): 5.1475 5.1475 5.1475
angles (deg): 90.00 90.00 90.00
Each line ends with the local moment (μB).
Positions (direct):
Mn  0.0000  0.0000  0.5000  4.29
Mn  0.0000  0.5000  0.0000  4.37
Mn  0.5000  0.0000  0.0000  4.45
Nb  0.0000  0.0000  0.0000  -2.36
O  0.5000  0.5000  0.5000  -0.82

Values from the calculation:
Calculated density: 3.33 Mg/m³
Magnetic moment: 2.042 μB per atom
Energy above the most stable polymorph in this dataset: 1.711 eV per atom
SG: Pm-3m
DFT total energy: -0.4206 Ry/atom



3.
A plane-wave DFT calculation with PBE+U was carried out for a relaxed MnNbP2O8 crystal.

a b c (Å): 10.1846 6.1182 5.0560
angles (deg): 90.00 92.19 90.00
Each line ends with the local moment (μB).
Positions (direct):
O  0.9422  0.2500  0.3171  0.01
O  0.6368  0.2500  0.8349  0.02
O  0.8936  0.7500  0.2951  0.01
O  0.0578  0.7500  0.6829  0.01
O  0.8396  0.5482  0.7235  0.00
O  0.1603  0.4518  0.2765  0.00
O  0.3284  0.9448  0.7198  0.02
O  0.6716  0.0553  0.2802  0.02
O  0.1603  0.0482  0.2765  0.00
O  0.3633  0.7500  0.1651  0.02
O  0.5473  0.7500  0.8458  0.01
O  0.1064  0.2500  0.7048  0.01
O  0.3284  0.5553  0.7198  0.02
O  0.4527  0.2500  0.1542  0.01
O  0.6716  0.4448  0.2802  0.02
O  0.8396  0.9517  0.7235  0.00
Nb  0.7835  0.2500  0.5681  0.90
Nb  0.2165  0.7500  0.4320  0.90
P  0.5993  0.2500  0.1276  0.01
P  0.0887  0.2500  0.4071  0.01
P  0.9113  0.7500  0.5929  0.01
P  0.4007  0.7500  0.8724  0.01
Mn  0.7214  0.7500  0.0652  4.66
Mn  0.2786  0.2500  0.9349  4.66

Values from the calculation:
Calculated density: 3.56 Mg/m³
Magnetic moment: 0.500 μB per atom
SG: P2_1/m
DFT total energy: -0.5771 Ry/atom



4.
A plane-wave DFT calculation with PBE+U was carried out for a relaxed MnNb3P6O24 crystal.

a b c (Å): 9.0525 9.0525 9.0525
angles (deg): 57.77 57.77 57.77
Each line ends with the local moment (μB).
Positions (direct):
O  0.5825  0.7875  0.4119  -0.01
O  0.2520  0.3519  0.9814  -0.02
O  0.4119  0.5825  0.7875  -0.01
O  0.3519  0.9814  0.2520  -0.02
O  0.5011  0.1350  0.2810  0.00
O  0.6960  0.9513  0.0688  0.00
O  0.2139  0.5854  0.4271  0.00
O  0.9341  0.2987  0.0392  -0.02
O  0.6437  0.0069  0.7639  0.00
O  0.7074  0.5051  0.8715  -0.01
O  0.7875  0.4119  0.5825  -0.01
O  0.0688  0.6960  0.9513  0.00
O  0.2987  0.0392  0.9341  -0.02
O  0.4271  0.2139  0.5854  0.00
O  0.9814  0.2520  0.3519  -0.02
O  0.8715  0.7074  0.5051  -0.01
O  0.5854  0.4271  0.2139  0.00
O  0.1350  0.2810  0.5011  0.00
O  0.0069  0.7639  0.6437  0.00
O  0.7639  0.6437  0.0069  0.00
O  0.2810  0.5011  0.1350  0.00
O  0.9513  0.0688  0.6960  0.00
O  0.5051  0.8715  0.7074  -0.01
O  0.0392  0.9341  0.2987  -0.02
P  0.4631  0.0332  0.7566  0.01
P  0.9688  0.2515  0.5252  0.00
P  0.0332  0.7566  0.4631  0.01
P  0.2515  0.5252  0.9688  0.00
P  0.5252  0.9688  0.2515  0.00
P  0.7566  0.4631  0.0332  0.01
Nb  0.6423  0.6423  0.6423  0.01
Nb  0.3600  0.3600  0.3600  0.01
Nb  0.8577  0.8577  0.8577  0.01
Mn  0.1443  0.1443  0.1443  4.04

Values from the calculation:
Calculated density: 3.01 Mg/m³
Magnetic moment: 0.118 μB per atom
SG: R3
DFT total energy: -0.5773 Ry/atom